# 1
Compound: AcTbHoAg
Source: the Alexandria database
Functional: PBE
Structure: optimized geometry

Lattice parameters (Å, degrees): 5.562 5.562 5.562 60.00 60.00 60.00
Atoms (fractional coordinates):
1 Ac 0.000 0.000 0.000
2 Ho 0.250 0.250 0.250
3 Ag 0.500 0.500 0.500
4 Tb 0.750 0.750 0.750

Results
Size of the total moment ... 0.0000 μB/atom
Space group ... F-43m (216)
Crystal system ... cubic


# 2
Compound: AcHoAg2Te4
Source: the Alexandria database
Functional: PBE
Structure: optimized geometry

Lattice parameters (Å, degrees): 7.606 7.014 7.014 69.18 57.17 57.17
Atoms (fractional coordinates):
1 Ag 0.837 0.663 0.663
2 Ag 0.163 0.337 0.337
3 Te 0.531 0.473 0.913
4 Te 0.083 0.913 0.473
5 Te 0.469 0.087 0.527
6 Te 0.917 0.527 0.087
7 Ac 0.000 0.000 0.000
8 Ho 0.500 0.500 0.500

Results
Formation energy without anion corrections ... -0.82 eV/atom
Size of the total moment ... 0.0000 μB/atom
Space group ... I222 (23)
Crystal system ... orthorhombic


# 3
Compound: AcYHoAg
Source: the Alexandria database
Functional: PBE
Structure: optimized geometry

Lattice parameters (Å, degrees): 5.562 5.562 5.562 60.00 60.00 60.00
Atoms (fractional coordinates):
1 Y 0.000 0.000 0.000
2 Ho 0.500 0.500 0.500
3 Ag 0.250 0.250 0.250
4 Ac 0.750 0.750 0.750

Results
Size of the total moment ... 0.0000 μB/atom
Space group ... F-43m (216)
Crystal system ... cubic


# 4
Compound: Ac7AgI12
Source: the Alexandria database
Functional: PBE
Structure: optimized geometry

Lattice parameters (Å, degrees): 10.571 10.571 10.571 108.44 108.44 108.44
Atoms (fractional coordinates):
1 I 0.073 0.687 0.222
2 I 0.687 0.222 0.073
3 I 0.401 0.489 0.160
4 I 0.778 0.927 0.313
5 I 0.840 0.599 0.511
6 I 0.160 0.401 0.489
7 I 0.927 0.313 0.778
8 I 0.313 0.778 0.927
9 I 0.222 0.073 0.687
10 I 0.599 0.511 0.840
11 I 0.511 0.840 0.599
12 I 0.489 0.160 0.401
13 Ac 0.879 0.955 0.672
14 Ac 0.672 0.879 0.955
15 Ac 0.500 0.500 0.500
16 Ac 0.045 0.328 0.121
17 Ac 0.328 0.121 0.045
18 Ac 0.121 0.045 0.328
19 Ac 0.955 0.672 0.879
20 Ag 0.000 0.000 0.000

Results
Formation energy without anion corrections ... -1.24 eV/atom
Size of the total moment ... 0.0000 μB/atom
Space group ... R-3 (148)
Crystal system ... trigonal


# 5
Compound: Ac2AgI2
Source: the Alexandria database
Functional: PBE
Structure: optimized geometry

Lattice parameters (Å, degrees): 4.581 4.581 12.475 79.42 79.42 60.00
Atoms (fractional coordinates):
1 I 0.222 0.222 0.335
2 I 0.778 0.778 0.665
3 Ag 0.000 0.000 0.000
4 Ac 0.616 0.616 0.153
5 Ac 0.384 0.384 0.847

Results
Formation energy without anion corrections ... -0.88 eV/atom
Size of the total moment ... 0.0000 μB/atom
Space group ... R-3m (166)
Crystal system ... trigonal


# 6
Compound: Ac2AgI
Source: the Alexandria database
Functional: PBE
Structure: optimized geometry

Lattice parameters (Å, degrees): 4.641 4.641 8.611 74.37 74.37 60.00
Atoms (fractional coordinates):
1 I 0.500 0.500 0.500
2 Ac 0.262 0.262 0.214
3 Ac 0.738 0.738 0.786
4 Ag 0.000 0.000 0.000

Results
Formation energy without anion corrections ... -0.57 eV/atom
Size of the total moment ... 0.0000 μB/atom
Space group ... R-3m (166)
Crystal system ... trigonal


| no. | total DFT energy (no corrections) (eV/atom) | V (Å³/cell) |
| --- | --- | --- |
| 1 | -3.86 | 121.7 |
| 2 | -4.19 | 263.2 |
| 3 | -4.32 | 121.7 |
| 4 | -3.75 | 942.7 |
| 5 | -3.71 | 221.6 |
| 6 | -3.73 | 152.6 |